{
  "formula": "Sr2CeCuSe5",
  "functional": "PBE",
  "state": "optimized geometry",
  "lattice": [[2.0880, -9.2017, 0.0000], [2.0880, 9.2017, 0.0000], [0.0000, 0.0000, 12.6711]],
  "species": ["Sr", "Sr", "Sr", "Sr", "Ce", "Ce", "Cu", "Cu", "Se", "Se", "Se", "Se", "Se", "Se", "Se", "Se", "Se", "Se"],
  "frac_coords": [[0.1153, 0.8847, 0.5000], [0.1176, 0.8824, 0.8513], [0.8824, 0.1176, 0.3513], [0.8847, 0.1153, 0.0000], [0.1946, 0.8054, 0.1829], [0.8054, 0.1946, 0.6829], [0.4389, 0.5611, 0.5888], [0.5611, 0.4389, 0.0888], [0.0356, 0.9644, 0.1786], [0.3022, 0.6978, 0.8372], [0.3088, 0.6912, 0.5263], [0.3483, 0.6517, 0.1752], [0.4994, 0.5006, 0.9223], [0.5006, 0.4994, 0.4223], [0.6517, 0.3483, 0.6752], [0.6912, 0.3088, 0.0263], [0.6978, 0.3022, 0.3372], [0.9644, 0.0356, 0.6786]],
  "spacegroup": "Cmc2_1",
  "crystal_system": "orthorhombic",
  "dft_energy_ev_per_atom": -4.8820,
  "n_ef_per_ev_cell": 9.8
}

---

{
  "formula": "SrCeCuSe4",
  "functional": "PBE",
  "state": "optimized geometry",
  "lattice": [[7.2004, 0.0000, 0.0000], [0.0000, 5.8258, 0.0000], [-2.5761, 0.0000, 8.3508]],
  "species": ["Sr", "Sr", "Ce", "Ce", "Cu", "Cu", "Se", "Se", "Se", "Se", "Se", "Se", "Se", "Se"],
  "frac_coords": [[0.2341, 0.2500, 0.4355], [0.7659, 0.7500, 0.5645], [0.2292, 0.2500, 0.9376], [0.7708, 0.7500, 0.0624], [0.2432, 0.7500, 0.1829], [0.7568, 0.2500, 0.8171], [0.0605, 0.7500, 0.3697], [0.0775, 0.7500, 0.9044], [0.4830, 0.5100, 0.7663], [0.4830, 0.9900, 0.7663], [0.5170, 0.0100, 0.2337], [0.5170, 0.4900, 0.2337], [0.9225, 0.2500, 0.0956], [0.9395, 0.2500, 0.6303]],
  "spacegroup": "P2_1/m",
  "crystal_system": "monoclinic",
  "dft_energy_ev_per_atom": -5.0139,
  "n_ef_per_ev_cell": 5.5
}

---

{
  "formula": "SrCeCuSe3",
  "functional": "PBE",
  "state": "optimized geometry",
  "lattice": [[8.7872, 0.0000, 0.0000], [0.0000, 4.1545, 0.0000], [-1.9267, 0.0000, 8.9079]],
  "species": ["Sr", "Sr", "Ce", "Ce", "Cu", "Cu", "Se", "Se", "Se", "Se", "Se", "Se"],
  "frac_coords": [[0.1785, 0.2500, 0.2328], [0.8215, 0.7500, 0.7672], [0.3295, 0.7500, 0.8290], [0.6705, 0.2500, 0.1710], [0.0803, 0.2500, 0.5827], [0.9197, 0.7500, 0.4173], [0.0992, 0.2500, 0.8602], [0.2116, 0.7500, 0.5056], [0.4274, 0.7500, 0.1660], [0.5726, 0.2500, 0.8340], [0.7884, 0.2500, 0.4944], [0.9008, 0.7500, 0.1398]],
  "spacegroup": "P2_1/m",
  "crystal_system": "monoclinic",
  "dft_energy_ev_per_atom": -5.1842,
  "n_ef_per_ev_cell": 13.0
}

---

{
  "formula": "Tb2CeCuSe5",
  "functional": "PBE",
  "state": "optimized geometry",
  "lattice": [[1.9892, -9.5187, 0.0000], [1.9892, 9.5187, 0.0000], [0.0000, 0.0000, 11.6674]],
  "species": ["Tb", "Tb", "Tb", "Tb", "Ce", "Ce", "Cu", "Cu", "Se", "Se", "Se", "Se", "Se", "Se", "Se", "Se", "Se", "Se"],
  "frac_coords": [[0.0916, 0.9084, 0.5000], [0.1115, 0.8885, 0.1263], [0.8885, 0.1115, 0.6263], [0.9084, 0.0916, 0.0000], [0.1957, 0.8043, 0.8255], [0.8043, 0.1957, 0.3255], [0.4324, 0.5676, 0.2677], [0.5676, 0.4324, 0.7677], [0.0476, 0.9524, 0.8792], [0.3011, 0.6989, 0.5107], [0.3282, 0.6718, 0.1449], [0.3595, 0.6405, 0.8217], [0.4960, 0.5040, 0.5982], [0.5040, 0.4960, 0.0982], [0.6405, 0.3595, 0.3217], [0.6718, 0.3282, 0.6449], [0.6989, 0.3011, 0.0107], [0.9524, 0.0476, 0.3792]],
  "spacegroup": "Cmc2_1",
  "crystal_system": "orthorhombic",
  "dft_energy_ev_per_atom": -5.5822,
  "n_ef_per_ev_cell": 14.0
}

---

{
  "formula": "TbCe2CuSe5",
  "functional": "PBE",
  "state": "optimized geometry",
  "lattice": [[2.0232, -8.6637, 0.0000], [2.0232, 8.6637, 0.0000], [0.0000, 0.0000, 12.4194]],
  "species": ["Tb", "Tb", "Ce", "Ce", "Ce", "Ce", "Cu", "Cu", "Se", "Se", "Se", "Se", "Se", "Se", "Se", "Se", "Se", "Se"],
  "frac_coords": [[0.1786, 0.8214, 0.5000], [0.8214, 0.1786, 0.0000], [0.1113, 0.8887, 0.8224], [0.1184, 0.8816, 0.1693], [0.8816, 0.1184, 0.6693], [0.8887, 0.1113, 0.3224], [0.4456, 0.5544, 0.8980], [0.5544, 0.4456, 0.3980], [0.0156, 0.9844, 0.4925], [0.3036, 0.6964, 0.1637], [0.3103, 0.6897, 0.8335], [0.3447, 0.6553, 0.4944], [0.4959, 0.5041, 0.2231], [0.5041, 0.4959, 0.7231], [0.6553, 0.3447, 0.9944], [0.6897, 0.3103, 0.3335], [0.6964, 0.3036, 0.6637], [0.9844, 0.0156, 0.9925]],
  "spacegroup": "Cmc2_1",
  "crystal_system": "orthorhombic",
  "dft_energy_ev_per_atom": -5.7981,
  "n_ef_per_ev_cell": 24.6
}

---

{
  "formula": "Ce3Tl4CuSe8",
  "functional": "PBE",
  "state": "optimized geometry",
  "lattice": [[7.3014, -4.1871, 0.0000], [7.3014, 4.1871, 0.0000], [-4.8615, 0.0000, 7.7270]],
  "species": ["Ce", "Ce", "Ce", "Tl", "Tl", "Tl", "Tl", "Cu", "Se", "Se", "Se", "Se", "Se", "Se", "Se", "Se"],
  "frac_coords": [[0.0000, 0.0000, 0.0000], [0.0000, 0.5000, 0.0000], [0.5000, 0.0000, 0.0000], [0.0000, 0.0000, 0.5000], [0.0000, 0.5000, 0.5000], [0.5000, 0.0000, 0.5000], [0.5000, 0.5000, 0.5000], [0.5000, 0.5000, 0.0000], [0.2368, 0.2368, 0.2114], [0.2423, 0.7273, 0.1980], [0.2663, 0.2663, 0.7970], [0.2727, 0.7577, 0.8020], [0.7273, 0.2423, 0.1980], [0.7337, 0.7337, 0.2030], [0.7577, 0.2727, 0.8020], [0.7632, 0.7632, 0.7886]],
  "spacegroup": "C2/m",
  "crystal_system": "monoclinic",
  "dft_energy_ev_per_atom": -4.7403,
  "n_ef_per_ev_cell": 12.6
}

---

{
  "formula": "Ce2Tl3CuSe6",
  "functional": "PBE",
  "state": "optimized geometry",
  "lattice": [[3.5812, -6.2188, 0.0000], [3.5812, 6.2188, 0.0000], [-2.3923, 0.0000, 7.7370]],
  "species": ["Ce", "Ce", "Tl", "Tl", "Tl", "Cu", "Se", "Se", "Se", "Se", "Se", "Se"],
  "frac_coords": [[0.1662, 0.8338, 0.0000], [0.8338, 0.1662, 0.0000], [0.0000, 0.0000, 0.5000], [0.3311, 0.6689, 0.5000], [0.6689, 0.3311, 0.5000], [0.5000, 0.5000, 0.0000], [0.1075, 0.4333, 0.7987], [0.2422, 0.2422, 0.2013], [0.4333, 0.1075, 0.7987], [0.5667, 0.8925, 0.2013], [0.7578, 0.7578, 0.7987], [0.8925, 0.5667, 0.2013]],
  "spacegroup": "C2/m",
  "crystal_system": "monoclinic",
  "dft_energy_ev_per_atom": -4.6088,
  "n_ef_per_ev_cell": 1.5
}

---

{
  "formula": "Ce3Tl3CuSe8",
  "functional": "PBE",
  "state": "optimized geometry",
  "lattice": [[7.4285, -4.0981, 0.0000], [7.4285, 4.0981, 0.0000], [-5.0208, 0.0000, 7.7176]],
  "species": ["Ce", "Ce", "Ce", "Tl", "Tl", "Tl", "Cu", "Se", "Se", "Se", "Se", "Se", "Se", "Se", "Se"],
  "frac_coords": [[0.0000, 0.0000, 0.0000], [0.0000, 0.5000, 0.0000], [0.5000, 0.0000, 0.0000], [0.0000, 0.5000, 0.5000], [0.5000, 0.0000, 0.5000], [0.5000, 0.5000, 0.5000], [0.5000, 0.5000, 0.0000], [0.2219, 0.2219, 0.7663], [0.2352, 0.2352, 0.2114], [0.2639, 0.7032, 0.1787], [0.2968, 0.7361, 0.8213], [0.7032, 0.2639, 0.1787], [0.7361, 0.2968, 0.8213], [0.7648, 0.7648, 0.7886], [0.7781, 0.7781, 0.2337]],
  "spacegroup": "C2/m",
  "crystal_system": "monoclinic",
  "dft_energy_ev_per_atom": -4.8412,
  "n_ef_per_ev_cell": 14.5
}

---

{
  "formula": "CeTl3Cu2Se6",
  "functional": "PBE",
  "state": "optimized geometry",
  "lattice": [[3.8102, -5.5837, 0.0000], [3.8102, 5.5837, 0.0000], [-3.1426, 0.0000, 7.5070]],
  "species": ["Ce", "Tl", "Tl", "Tl", "Cu", "Cu", "Se", "Se", "Se", "Se", "Se", "Se"],
  "frac_coords": [[0.0000, 0.0000, 0.0000], [0.1473, 0.8527, 0.5000], [0.5000, 0.5000, 0.5000], [0.8527, 0.1473, 0.5000], [0.3264, 0.6736, 0.0000], [0.6736, 0.3264, 0.0000], [0.0176, 0.3898, 0.2241], [0.3165, 0.3165, 0.8408], [0.3898, 0.0176, 0.2241], [0.6102, 0.9824, 0.7759], [0.6835, 0.6835, 0.1592], [0.9824, 0.6102, 0.7759]],
  "spacegroup": "C2/m",
  "crystal_system": "monoclinic",
  "dft_energy_ev_per_atom": -4.0463,
  "n_ef_per_ev_cell": 3.8
}

---

{
  "formula": "CeTlCu2Se4",
  "functional": "PBE",
  "state": "optimized geometry",
  "lattice": [[-3.4411, 3.5568, 3.8176], [3.4411, -3.5568, 3.8176], [3.4411, 3.5568, -3.8176]],
  "species": ["Ce", "Tl", "Cu", "Cu", "Se", "Se", "Se", "Se"],
  "frac_coords": [[0.0000, 0.0000, 0.0000], [0.5000, 0.5000, 0.0000], [0.1745, 0.6745, 0.5000], [0.8255, 0.3255, 0.5000], [0.0400, 0.0609, 0.4995], [0.4386, 0.9391, 0.9791], [0.5614, 0.5405, 0.5005], [0.9600, 0.4595, 0.0209]],
  "spacegroup": "I222",
  "crystal_system": "orthorhombic",
  "dft_energy_ev_per_atom": -4.3868,
  "n_ef_per_ev_cell": 5.3
}

---

{
  "formula": "CeCu4Si2",
  "functional": "PBE",
  "state": "optimized geometry",
  "lattice": [[2.0313, -6.4169, 0.0000], [2.0313, 6.4169, 0.0000], [0.0000, 0.0000, 4.0637]],
  "species": ["Ce", "Cu", "Cu", "Cu", "Cu", "Si", "Si"],
  "frac_coords": [[0.0000, 0.0000, 0.0000], [0.1889, 0.8111, 0.5000], [0.3123, 0.6877, 0.0000], [0.6877, 0.3123, 0.0000], [0.8111, 0.1889, 0.5000], [0.4065, 0.5935, 0.5000], [0.5935, 0.4065, 0.5000]],
  "spacegroup": "Cmmm",
  "crystal_system": "orthorhombic",
  "dft_energy_ev_per_atom": -5.1160,
  "n_ef_per_ev_cell": 4.5
}

---

{
  "formula": "Ce2Cu2Si3",
  "functional": "PBE",
  "state": "optimized geometry",
  "lattice": [[4.9551, -2.0714, 0.0000], [4.9551, 2.0714, 0.0000], [-2.2318, 0.0000, 6.1135]],
  "species": ["Ce", "Ce", "Cu", "Cu", "Si", "Si", "Si"],
  "frac_coords": [[0.1479, 0.1479, 0.2892], [0.8521, 0.8521, 0.7108], [0.1580, 0.1580, 0.7930], [0.8420, 0.8420, 0.2070], [0.4037, 0.4037, 0.0665], [0.5000, 0.5000, 0.5000], [0.5963, 0.5963, 0.9335]],
  "spacegroup": "C2/m",
  "crystal_system": "monoclinic",
  "dft_energy_ev_per_atom": -5.6507,
  "n_ef_per_ev_cell": 6.3
}

---

{
  "formula": "Ce3Cu2Si3",
  "functional": "PBE",
  "state": "optimized geometry",
  "lattice": [[2.0649, -5.3373, 0.0000], [2.0649, 5.3373, 0.0000], [0.0000, 0.0000, 14.9464]],
  "species": ["Ce", "Ce", "Ce", "Ce", "Ce", "Ce", "Cu", "Cu", "Cu", "Cu", "Si", "Si", "Si", "Si", "Si", "Si"],
  "frac_coords": [[0.0740, 0.9260, 0.7500], [0.3637, 0.6363, 0.5984], [0.3637, 0.6363, 0.9016], [0.6363, 0.3637, 0.0984], [0.6363, 0.3637, 0.4016], [0.9260, 0.0740, 0.2500], [0.3443, 0.6557, 0.1138], [0.3443, 0.6557, 0.3862], [0.6557, 0.3443, 0.6138], [0.6557, 0.3443, 0.8862], [0.0817, 0.9183, 0.5527], [0.0817, 0.9183, 0.9473], [0.2095, 0.7905, 0.2500], [0.7905, 0.2095, 0.7500], [0.9183, 0.0817, 0.0527], [0.9183, 0.0817, 0.4473]],
  "spacegroup": "Cmcm",
  "crystal_system": "orthorhombic",
  "dft_energy_ev_per_atom": -5.8340,
  "n_ef_per_ev_cell": 28.7
}

---

{
  "formula": "CeCu2Si",
  "functional": "PBE",
  "state": "optimized geometry",
  "lattice": [[1.9966, -8.7374, 0.0000], [1.9966, 8.7374, 0.0000], [0.0000, 0.0000, 4.0741]],
  "species": ["Ce", "Ce", "Cu", "Cu", "Cu", "Cu", "Si", "Si"],
  "frac_coords": [[0.1099, 0.8901, 0.7500], [0.8901, 0.1099, 0.2500], [0.2505, 0.7495, 0.2500], [0.4622, 0.5378, 0.7500], [0.5378, 0.4622, 0.2500], [0.7495, 0.2505, 0.7500], [0.3257, 0.6743, 0.7500], [0.6743, 0.3257, 0.2500]],
  "spacegroup": "Cmcm",
  "crystal_system": "orthorhombic",
  "dft_energy_ev_per_atom": -5.2931,
  "n_ef_per_ev_cell": 9.0
}

---

{
  "formula": "CeCuSi2",
  "functional": "PBE",
  "state": "optimized geometry",
  "lattice": [[3.2467, 0.0000, 0.0000], [0.0000, 3.2467, 0.0000], [0.0000, 0.0000, 6.5658]],
  "species": ["Ce", "Cu", "Si", "Si"],
  "frac_coords": [[0.0000, 0.0000, 0.0000], [0.0000, 0.0000, 0.5000], [0.5000, 0.5000, 0.3163], [0.5000, 0.5000, 0.6837]],
  "spacegroup": "P4/mmm",
  "crystal_system": "tetragonal",
  "dft_energy_ev_per_atom": -5.3808,
  "n_ef_per_ev_cell": 5.0
}

---

{
  "formula": "Ce3CuSi4",
  "functional": "PBE",
  "state": "optimized geometry",
  "lattice": [[-2.2226, 2.8489, 7.2032], [2.2226, -2.8489, 7.2032], [2.2226, 2.8489, -7.2032]],
  "species": ["Ce", "Ce", "Ce", "Cu", "Si", "Si", "Si", "Si"],
  "frac_coords": [[0.0000, 0.0000, 0.0000], [0.3094, 0.8094, 0.5000], [0.6906, 0.1906, 0.5000], [0.5000, 0.5000, 0.0000], [0.0940, 0.3827, 0.7112], [0.3285, 0.6173, 0.7112], [0.6715, 0.3827, 0.2888], [0.9060, 0.6173, 0.2888]],
  "spacegroup": "Immm",
  "crystal_system": "orthorhombic",
  "dft_energy_ev_per_atom": -5.8713,
  "n_ef_per_ev_cell": 15.2
}

---

{
  "formula": "Ce5Cu2Si5",
  "functional": "PBE",
  "state": "optimized geometry",
  "lattice": [[7.2753, -2.0486, 0.0000], [7.2753, 2.0486, 0.0000], [-6.3811, 0.0000, 8.5460]],
  "species": ["Ce", "Ce", "Ce", "Ce", "Ce", "Cu", "Cu", "Si", "Si", "Si", "Si", "Si"],
  "frac_coords": [[0.0000, 0.0000, 0.0000], [0.3091, 0.3091, 0.3991], [0.3717, 0.3717, 0.1998], [0.6283, 0.6283, 0.8002], [0.6909, 0.6909, 0.6009], [0.3908, 0.3908, 0.7360], [0.6092, 0.6092, 0.2640], [0.0000, 0.0000, 0.5000], [0.0721, 0.0721, 0.3375], [0.3098, 0.3098, 0.8764], [0.6902, 0.6902, 0.1236], [0.9279, 0.9279, 0.6625]],
  "spacegroup": "C2/m",
  "crystal_system": "monoclinic",
  "dft_energy_ev_per_atom": -5.9903,
  "n_ef_per_ev_cell": 19.2
}

---

{
  "formula": "Ce4Cu2Si5",
  "functional": "PBE",
  "state": "optimized geometry",
  "lattice": [[6.4242, 0.0000, 0.0000], [0.0000, 4.1170, 0.0000], [-0.6489, 0.0000, 8.3872]],
  "species": ["Ce", "Ce", "Ce", "Ce", "Cu", "Cu", "Si", "Si", "Si", "Si", "Si"],
  "frac_coords": [[0.1907, 0.0000, 0.3955], [0.2949, 0.0000, 0.9310], [0.7051, 0.0000, 0.0690], [0.8093, 0.0000, 0.6045], [0.0591, 0.5000, 0.1391], [0.9409, 0.5000, 0.8609], [0.1885, 0.5000, 0.6662], [0.4266, 0.5000, 0.2017], [0.5000, 0.5000, 0.5000], [0.5734, 0.5000, 0.7983], [0.8115, 0.5000, 0.3338]],
  "spacegroup": "P2/m",
  "crystal_system": "monoclinic",
  "dft_energy_ev_per_atom": -5.8162,
  "n_ef_per_ev_cell": 15.4
}

---

{
  "formula": "Ce2CuSi2",
  "functional": "PBE",
  "state": "optimized geometry",
  "lattice": [[5.3558, -2.0611, 0.0000], [5.3558, 2.0611, 0.0000], [-5.2743, 0.0000, 9.2104]],
  "species": ["Ce", "Ce", "Ce", "Ce", "Cu", "Cu", "Si", "Si", "Si", "Si"],
  "frac_coords": [[0.0713, 0.0713, 0.3540], [0.2111, 0.2111, 0.0686], [0.7889, 0.7889, 0.9314], [0.9287, 0.9287, 0.6460], [0.2354, 0.2354, 0.6964], [0.7646, 0.7646, 0.3036], [0.3780, 0.3780, 0.4066], [0.4819, 0.4819, 0.8785], [0.5181, 0.5181, 0.1215], [0.6220, 0.6220, 0.5934]],
  "spacegroup": "C2/m",
  "crystal_system": "monoclinic",
  "dft_energy_ev_per_atom": -5.9679,
  "n_ef_per_ev_cell": 16.5
}

---

{
  "formula": "Ce3Cu7Si4",
  "functional": "PBE",
  "state": "optimized geometry",
  "lattice": [[7.6265, -2.0957, 0.0000], [7.6265, 2.0957, 0.0000], [-4.8392, 0.0000, 7.1676]],
  "species": ["Ce", "Ce", "Ce", "Cu", "Cu", "Cu", "Cu", "Cu", "Cu", "Cu", "Si", "Si", "Si", "Si"],
  "frac_coords": [[0.0000, 0.0000, 0.0000], [0.2983, 0.2983, 0.2940], [0.7017, 0.7017, 0.7060], [0.0000, 0.0000, 0.5000], [0.1425, 0.1425, 0.8694], [0.3353, 0.3353, 0.6881], [0.4983, 0.4983, 0.3058], [0.5017, 0.5017, 0.6942], [0.6647, 0.6647, 0.3119], [0.8575, 0.8575, 0.1306], [0.1311, 0.1311, 0.4180], [0.3457, 0.3457, 0.9784], [0.6543, 0.6543, 0.0216], [0.8689, 0.8689, 0.5820]],
  "spacegroup": "C2/m",
  "crystal_system": "monoclinic",
  "dft_energy_ev_per_atom": -5.2822,
  "n_ef_per_ev_cell": 8.8
}